The following is a DFT calculation (PBE) of a relaxed structure of LiTlBr2.

a = 4.866 Å, b = 4.439 Å, c = 6.679 Å
α = 90.00°, β = 90.92°, γ = 90.00°
Sites, in units of the cell vectors:
Li 0.000 0.000 0.000
Tl 0.678 0.500 0.418
Br 0.174 0.000 0.353
Br 0.792 0.500 0.909

Results
The density of states at the Fermi level comes out at 0.00 states/eV/f.u. The calculation puts the energy above the most stable polymorph in this dataset at 0.033 eV per atom. As for the formation energy (no corrections): -1.14 eV per atom. As for the calculated volume: 144 Å³/f.u.